# Pu6Si

An optimized crystal structure of Pu6Si (PBE-GGA, Alexandria).

Output
Mass density, g/cm3: 16.7
Total energy, eV/atom: -12.51
Magnetic moment, μB/cell: 0.00
Raw formation energy, eV per atom: 0.548
SG: No. 229

Cell: 5.779 5.779 5.779 Å, 109.47 109.47 109.47°
Fractional coordinates of all 7 atoms:
Pu 0.500 0.750 0.250
Pu 0.750 0.500 0.250
Pu 0.750 0.250 0.500
Pu 0.500 0.250 0.750
Pu 0.250 0.500 0.750
Pu 0.250 0.750 0.500
Si 0.000 0.000 0.000